{
  "formula": "TcPbBr6",
  "functional": "PBE",
  "state": "optimized geometry",
  "spacegroup": "C2/m, No. 12",
  "formation_energy_uncorrected_ev_per_fu": -4.6,
  "dft_energy_ev_per_atom": -3.58,
  "crystal_system": "monoclinic",
  "lattice_angstrom": [[6.904, -0.132, -1.916], [-2.218, 6.540, -1.916], [0.080, 0.109, 7.424]],
  "species": ["Br", "Br", "Br", "Br", "Br", "Br", "Tc", "Pb"],
  "fractional_positions": [[0.970, 0.288, 0.263], [0.259, 0.259, 0.930], [0.288, 0.970, 0.263], [0.741, 0.741, 0.070], [0.030, 0.712, 0.737], [0.712, 0.030, 0.737], [0.000, 0.000, 0.000], [0.000, 0.000, 0.500]]
}